Computed, not measured: a geometry-optimized Sr2TlAu3 structure at the PBE-GGA level of DFT.

Cell lengths 7.9637, 9.8293, 16.8700 Å; angles 90.00, 90.00, 90.00 degrees
Last column: nearest neighbours and their distance in Å.
Space group Fmmm (No. 69)
Inequivalent atoms, fractional coordinates:
Sr 0.2422 0.0000 0.0000 [8 per cell]  10 Au 3.38-3.50, 2 Tl 3.48
Sr 0.2500 0.2500 0.2500 [8 per cell]  8 Au 3.45-3.48, 4 Tl 3.46
Tl 0.0000 0.0000 0.3331 [8 per cell]  3 Au 2.84-2.85
Au 0.0000 0.0000 0.1645 [8 per cell]  2 Au 2.80, 1 Tl 2.84
Au 0.0000 0.2486 0.0829 [16 per cell]  2 Au 2.80, 1 Tl 2.85

Output
DFT formation energy = -0.603 eV/atom

***

Computed, not measured: a geometry-optimized Sr2Tl2Au15 structure at the PBE-GGA level of DFT.

Cell lengths 9.9519, 9.9519, 14.2558 Å; angles 90.00, 90.00, 120.00 degrees
Last column: nearest neighbours and their distance in Å.
Space group R-3m (No. 166, hexagonal axes)
Inequivalent atoms, fractional coordinates:
Sr 0.0000 0.0000 0.1493 [6 per cell]  12 Au 3.39-3.58, 1 Tl 3.52
Tl 0.0000 0.0000 0.3964 [6 per cell]  1 Tl 2.95, 6 Au 3.01-3.14
Au 0.0000 0.3204 0.5000 [18 per cell]  8 Au 2.86-3.19
Au 0.0000 0.5000 0.0000 [9 per cell]  8 Au 2.86-2.93, 2 Tl 3.01
Au 0.0113 0.5056 0.6576 [18 per cell]  8 Au 2.79-2.98

Output
DFT formation energy = -0.270 eV/atom

***

Computed, not measured: a geometry-optimized Sr3Tl2Au structure at the PBE-GGA level of DFT.

Cell lengths 4.0228, 4.0228, 11.9714 Å; angles 90.00, 90.00, 90.00 degrees
Last column: nearest neighbours and their distance in Å.
Space group P4/mmm (No. 123)
Inequivalent atoms, fractional coordinates:
Sr 0.0000 0.0000 0.0000 [1 per cell]  8 Tl 3.48
Sr 0.0000 0.0000 0.3460 [2 per cell]  4 Au 3.39, 4 Tl 3.56, 1 Sr 3.69
Tl 0.5000 0.5000 0.1672 [2 per cell]  8 Sr 3.48-3.56
Au 0.5000 0.5000 0.5000 [1 per cell]  8 Sr 3.39

Output
DFT formation energy = -0.514 eV/atom

***

Computed, not measured: a geometry-optimized Sr12Tl3Au5 structure at the PBE-GGA level of DFT.

Cell lengths 19.0411, 19.0411, 19.0411 Å; angles 90.00, 90.00, 90.00 degrees
Last column: nearest neighbours and their distance in Å.
Space group Ia-3d (No. 230)
Inequivalent atoms, fractional coordinates:
Sr 0.0236 0.0672 0.6502 [96 per cell]  2 Au 3.00-3.16
Tl 0.0000 0.2500 0.1250 [24 per cell]  8 Sr 3.54-3.64
Au 0.0000 0.0000 0.0000 [16 per cell]  6 Sr 3.16
Au 0.0000 0.2500 0.3750 [24 per cell]  4 Sr 3.00

Output
DFT formation energy = -0.363 eV/atom

***

Computed, not measured: a geometry-optimized Sr4Tl3Au structure at the PBE-GGA level of DFT.

Cell lengths 4.0091, 4.0091, 16.4088 Å; angles 90.00, 90.00, 90.00 degrees
Last column: nearest neighbours and their distance in Å.
Space group P4/mmm (No. 123)
Inequivalent atoms, fractional coordinates:
Sr 0.0000 0.0000 0.1129 [2 per cell]  4 Au 3.39, 4 Tl 3.59, 1 Sr 3.71
Sr 0.0000 0.0000 0.3722 [2 per cell]  8 Tl 3.50-3.53
Tl 0.5000 0.5000 0.2467 [2 per cell]  8 Sr 3.50-3.59
Tl 0.5000 0.5000 0.5000 [1 per cell]  8 Sr 3.53
Au 0.5000 0.5000 0.0000 [1 per cell]  8 Sr 3.39

Output
DFT formation energy = -0.491 eV/atom

***

Computed, not measured: a geometry-optimized Sr2Tl3Au structure at the PBE-GGA level of DFT.

Cell lengths 7.8029, 10.3603, 17.9229 Å; angles 90.00, 90.00, 90.00 degrees
Last column: nearest neighbours and their distance in Å.
Space group Fmmm (No. 69)
Inequivalent atoms, fractional coordinates:
Sr 0.2470 0.0000 0.0000 [8 per cell]  10 Tl 3.52-3.66, 2 Au 3.56, 1 Sr 3.85
Sr 0.2500 0.2500 0.2500 [8 per cell]  8 Tl 3.53, 4 Au 3.57, 2 Sr 3.90
Tl 0.0000 0.0000 0.3278 [8 per cell]  1 Au 2.88, 2 Tl 3.08
Tl 0.0000 0.2427 0.0861 [16 per cell]  1 Au 2.90, 2 Tl 3.08-3.09
Au 0.0000 0.0000 0.1668 [8 per cell]  3 Tl 2.88-2.90

Output
DFT formation energy = -0.414 eV/atom

***

Computed, not measured: a geometry-optimized SrTlAu4 structure at the PBE-GGA level of DFT.

Cell lengths 8.1484, 8.1484, 8.1484 Å; angles 90.00, 90.00, 90.00 degrees
Last column: nearest neighbours and their distance in Å.
Space group F-43m (No. 216)
Inequivalent atoms, fractional coordinates:
Sr 0.0000 0.0000 0.0000 [4 per cell]  12 Au 3.38, 4 Tl 3.53
Tl 0.2500 0.2500 0.7500 [4 per cell]  12 Au 3.38, 4 Sr 3.53
Au 0.1250 0.1250 0.3750 [16 per cell]  6 Au 2.88

Output
DFT formation energy = -0.386 eV/atom

***

Computed, not measured: a geometry-optimized Sr2Tl2Au structure at the PBE-GGA level of DFT.

Cell lengths 12.6938, 4.5533, 12.3347 Å; angles 90.00, 114.53, 90.00 degrees
Last column: nearest neighbours and their distance in Å.
Space group C2/m (No. 12)
Inequivalent atoms, fractional coordinates:
Sr 0.0957 0.0000 0.3877 [4 per cell]  3 Au 3.23-3.50, 4 Tl 3.46-3.60
Sr 0.1758 0.0000 0.0978 [4 per cell]  2 Au 3.29, 6 Tl 3.37-3.67
Tl 0.0305 0.5000 0.8589 [4 per cell]  1 Au 3.06
Tl 0.1131 0.5000 0.6228 [4 per cell]  2 Au 2.92, 1 Tl 3.19
Au 0.2281 0.5000 0.3059 [4 per cell]  3 Tl 2.92-3.06, 2 Sr 3.23

Output
DFT formation energy = -0.464 eV/atom

***

The evaluated calculated volume for the records listed, in turn: 27.51, 21.45, 32.29, 43.15, 32.97, 30.19, 22.54, 32.43 A^3/atom.
The evaluated N(E_F) for the records listed, in turn: 27.76, 21.84, 4.85, 124.00, 6.14, 22.75, 19.29, 12.57 states/eV per cell.